Crystalline SrB3S at its relaxed geometry. Source: Alexandria via LeMat-Bulk, functional PBE.

a = 5.045 Å, b = 5.045 Å, c = 5.045 Å
α = 90.00°, β = 90.00°, γ = 90.00°
Positions (direct):
1 Sr 0.000 0.000 0.000
2 S 0.500 0.500 0.500
3 B 0.000 0.500 0.000
4 B 0.000 0.000 0.500
5 B 0.500 0.000 0.000

Energy above the most stable polymorph in this dataset ... 1566 meV/atom
Crystal system ... cubic
ΔE_f (raw) ... 2.954 eV per atom
Total energy ... -2.21 eV per atom



Crystalline Pm8Cd2Ge at its relaxed geometry. Source: Alexandria via LeMat-Bulk, functional PBE.

a = 5.304 Å, b = 6.981 Å, c = 9.727 Å
α = 103.55°, β = 105.82°, γ = 90.00°
Positions (direct):
1 Pm 0.408 0.549 0.816
2 Pm 0.657 0.972 0.314
3 Pm 0.793 0.696 0.586
4 Pm 0.986 0.230 0.973
5 Pm 0.207 0.304 0.414
6 Pm 0.343 0.028 0.686
7 Pm 0.592 0.451 0.184
8 Pm 0.014 0.770 0.027
9 Cd 0.819 0.270 0.639
10 Cd 0.181 0.730 0.361
11 Ge 0.500 0.000 0.000

Crystal system ... monoclinic
E_form ... -0.206 eV per atom
Total energy ... -4.25 eV per atom



Crystalline NiPS2 at its relaxed geometry. Source: Alexandria via LeMat-Bulk, functional PBE.

a = 7.263 Å, b = 7.263 Å, c = 7.263 Å
α = 26.70°, β = 26.70°, γ = 26.70°
Positions (direct):
1 Ni 0.500 0.500 0.500
2 S 0.891 0.891 0.891
3 S 0.109 0.109 0.109
4 P 0.000 0.000 0.000

Crystal system ... trigonal
ΔE_f (raw) ... 0.121 eV per atom
Total energy ... -4.74 eV per atom



| no. | volume (Å³ per cell) | calculated density (g/cm³) |
| --- | --- | --- |
| 1 | 128 | 2.0 |
| 2 | 336 | 7.2 |
| 3 | 68 | 3.7 |